Record 1
{"formula": "SmBPd", "functional": "PBE", "state": "relaxed", "lattice": [[0.000, 3.193, 3.193], [3.193, 0.000, 3.193], [3.193, 3.193, 0.000]], "species": ["Sm", "B", "Pd"], "fractional_positions": [[0.000, 0.000, 0.000], [0.750, 0.750, 0.750], [0.250, 0.250, 0.250]], "volume_a3_per_atom": 21.70, "e_above_lowest_polymorph_mev_per_atom": 726, "sg": "F-43m (216)"}

***

Record 2
{"formula": "Nd3Ge4Ir2Pd2", "functional": "PBE", "state": "relaxed", "lattice": [[-2.077, 2.158, 12.617], [2.077, -2.158, 12.617], [2.077, 2.158, -12.617]], "species": ["Nd", "Nd", "Nd", "Ge", "Ge", "Ge", "Ge", "Ir", "Ir", "Pd", "Pd"], "fractional_positions": [[0.000, 0.000, 0.000], [0.355, 0.855, 0.500], [0.645, 0.145, 0.500], [0.194, 0.694, 0.500], [0.450, 0.450, 0.000], [0.550, 0.550, 0.000], [0.806, 0.306, 0.500], [0.097, 0.597, 0.500], [0.903, 0.403, 0.500], [0.250, 0.250, 0.000], [0.750, 0.750, 0.000]], "volume_a3_per_atom": 20.57, "total_energy_ev_per_atom": -6.350, "sg": "Immm (71)"}

***

Record 3
{"formula": "PmNdN2Cl2", "functional": "PBE", "state": "relaxed", "lattice": [[3.887, 0.000, 0.000], [0.000, 3.887, 0.000], [0.000, 0.000, 7.396]], "species": ["Pm", "Nd", "N", "N", "Cl", "Cl"], "fractional_positions": [[0.000, 0.000, 0.000], [0.500, 0.500, 0.619], [0.000, 0.500, 0.812], [0.500, 0.000, 0.812], [0.000, 0.000, 0.436], [0.500, 0.500, 0.183]], "volume_a3_per_atom": 18.63, "total_energy_ev_per_atom": -6.296, "sg": "P4mm (99)"}

***

Question: Number 1 is which compound?
Answer: SmBPd